Entry from the Alexandria database: a relaxed structure of ScBePt3 (PBE-GGA).

extended XYZ file:
```
5
Lattice="4.2837 0.0000 0.0000 0.0000 4.2837 0.0000 0.0000 0.0000 4.2837" Properties=species:S:1:pos:R:3 pbc="T T T"
Sc 2.1419 2.1419 2.1419
Be 0.0000 0.0000 0.0000
Pt 0.0000 2.1419 0.0000
Pt 0.0000 0.0000 2.1419
Pt 2.1419 0.0000 0.0000
```

The symmetry is Pm-3m (221). The calculation puts the total magnetization at 0.00 μB per cell. The value obtained for the density of states at the Fermi level is 4.1 states/eV per cell. For the formation enthalpy at 0 K, the calculation gives -3.51 eV/f.u.

Entry from the Alexandria database: a relaxed structure of Nd2TmIn (PBE-GGA).

extended XYZ file:
```
4
Lattice="3.6224 0.0000 0.0000 0.0000 3.6224 0.0000 0.0000 0.0000 9.5240" Properties=species:S:1:pos:R:3 pbc="T T T"
Tm 1.8112 1.8112 4.7620
Nd 0.0000 0.0000 7.3353
Nd 0.0000 0.0000 2.1887
In 1.8112 1.8112 0.0000
```

The symmetry is P4/mmm (123). The calculation puts the total magnetization at 0.00 μB per cell. The value obtained for the density of states at the Fermi level is 5.8 states/eV per cell. For the formation enthalpy at 0 K, the calculation gives -0.78 eV/f.u.

Entry from the Alexandria database: a relaxed structure of SrPBr2 (PBE-GGA).

extended XYZ file:
```
4
Lattice="4.7324 0.0000 0.0000 0.0000 5.0530 -0.0068 0.0000 0.2682 5.0503" Properties=species:S:1:pos:R:3 pbc="T T T"
Br 0.0000 0.1308 0.1239
Br 0.0000 2.5298 2.3979
P 2.3662 1.3303 1.2609
Sr 2.3662 3.9909 3.7826
```

The calculation puts the formation energy without anion corrections at -14.8 kcal/mol of atoms. The symmetry is Cmmm (65). The calculation puts the total magnetization at 0.00 μB per cell. The value obtained for the density of states at the Fermi level is 1.2 states/eV per cell.

Entry from the Alexandria database: a relaxed structure of YHg (PBE-GGA).

extended XYZ file:
```
2
Lattice="3.7295 0.0000 0.0000 0.0000 3.7295 0.0000 0.0000 0.0000 3.7295" Properties=species:S:1:pos:R:3 pbc="T T T"
Y 1.8647 1.8647 1.8647
Hg 0.0000 0.0000 0.0000
```

The symmetry is Pm-3m (221). The calculation puts the total magnetization at 0.00 μB per cell. The value obtained for the density of states at the Fermi level is 2.1 states/eV per cell. For the formation enthalpy at 0 K, the calculation gives -1.02 eV/f.u.

Entry from the Alexandria database: a relaxed structure of Li3Tl4Rh (PBE-GGA).

extended XYZ file:
```
8
Lattice="-1.4063 -1.9056 2.5435 3.0513 -0.0313 1.6636 -3.4148 11.1594 6.4727" Properties=species:S:1:pos:R:3 pbc="T T T"
Tl -3.0156 9.8549 5.7161
Tl -0.3992 1.3044 0.7566
Tl -1.2634 4.1287 2.3947
Tl -2.1514 7.0307 4.0780
Rh 0.8225 -0.9685 2.1036
Li 0.0192 1.6565 3.6261
Li -0.8849 4.6112 5.3399
Li -1.7891 7.5660 7.0538
```

The symmetry is P4/mmm (123). The calculation puts the total magnetization at 0.00 μB per cell. The value obtained for the density of states at the Fermi level is 4.2 states/eV per cell. For the formation enthalpy at 0 K, the calculation gives -1.20 eV/f.u.

Entry from the Alexandria database: a relaxed structure of GePd4Au (PBE-GGA).

extended XYZ file:
```
12
Lattice="-3.0532 -2.6140 -0.1388 0.2855 -0.0534 -5.2740 8.0827 -6.3738 0.5021" Properties=species:S:1:pos:R:3 pbc="T T T"
Ge 3.0416 -6.4320 -4.0412
Ge 2.3060 -2.6153 -1.4747
Pd 3.4039 -7.0146 -1.0391
Pd 1.9079 -2.0259 -3.8156
Pd 5.6519 -6.3675 -4.4118
Pd -0.2491 -2.6901 -2.1235
Pd 1.5615 -4.7726 -2.7331
Pd 3.6345 -4.2463 0.0187
Pd 0.8665 -4.1026 -0.0629
Pd 4.3220 -4.9149 -2.5127
Au -0.7135 -2.0047 -4.8160
Au 6.1180 -7.0532 -1.7501
```

The symmetry is Cmc2_1 (36). The calculation puts the total magnetization at 0.00 μB per cell. The value obtained for the density of states at the Fermi level is 6.1 states/eV per cell. For the formation enthalpy at 0 K, the calculation gives -0.82 eV/f.u.

Entry from the Alexandria database: a relaxed structure of In4Re2B (PBE-GGA).

extended XYZ file:
```
7
Lattice="5.1069 0.0000 0.0000 0.0000 5.1069 0.0000 2.5535 2.5535 6.3471" Properties=species:S:1:pos:R:3 pbc="T T T"
Re 5.1069 5.1069 5.1695
Re 2.5535 2.5535 1.1776
B 0.0000 0.0000 0.0000
In 5.1069 5.1069 2.3355
In 2.5535 2.5535 4.0115
In 0.0000 2.5535 0.0000
In 2.5535 0.0000 0.0000
```

The symmetry is I4/mmm (139). The calculation puts the total magnetization at 1.95 μB per cell. The value obtained for the density of states at the Fermi level is 5.3 states/eV per cell. For the formation enthalpy at 0 K, the calculation gives 8.26 eV/f.u.

Entry from the Alexandria database: a relaxed structure of VHS2 (PBE-GGA).

extended XYZ file:
```
4
Lattice="1.9070 0.0000 6.0720 -0.9535 1.6515 6.0720 -0.9535 -1.6515 6.0720" Properties=species:S:1:pos:R:3 pbc="T T T"
H 0.0000 0.0000 0.0000
S 0.0000 0.0000 16.5827
S 0.0000 0.0000 1.6333
V 0.0000 0.0000 9.1080
```

The symmetry is R-3m (166). Its total energy is -22.90 eV/cell. The calculation puts the total magnetization at 0.00 μB per cell. The value obtained for the density of states at the Fermi level is 1.1 states/eV per cell.

Entry from the Alexandria database: a relaxed structure of Ca4HgPb5 (PBE-GGA).

extended XYZ file:
```
10
Lattice="-4.1670 -2.2514 -2.6805 3.5197 0.3472 -5.7633 3.8330 -6.4453 4.9797" Properties=species:S:1:pos:R:3 pbc="T T T"
Ca -0.3437 -3.9937 -1.6359
Ca 3.4037 -1.0727 -4.3902
Ca 3.5294 -4.3558 -1.8281
Ca -0.2180 -7.2768 0.9262
Hg -2.0835 -1.1257 -1.3402
Pb 1.7089 -4.4212 1.0570
Pb 1.7580 -1.4461 -1.5183
Pb 1.4277 -6.9035 -1.9456
Pb -0.3236 -0.9521 -4.2219
Pb 1.4768 -3.9283 -4.5210
```

The symmetry is C2/m (12). The calculation puts the total magnetization at 0.00 μB per cell. The value obtained for the density of states at the Fermi level is 4.4 states/eV per cell. For the formation enthalpy at 0 K, the calculation gives -4.17 eV/f.u.

Entry from the Alexandria database: a relaxed structure of YTiZnPd (PBE-GGA).

extended XYZ file:
```
4
Lattice="4.7753 0.0000 0.0000 2.3876 4.1355 0.0000 2.3876 1.3785 3.8990" Properties=species:S:1:pos:R:3 pbc="T T T"
Y 4.7753 2.7570 1.9495
Zn 7.1629 4.1355 2.9243
Pd 2.3876 1.3785 0.9748
Ti 0.0000 0.0000 0.0000
```

The symmetry is F-43m (216). The calculation puts the total magnetization at 1.46 μB per cell. The value obtained for the density of states at the Fermi level is 4.9 states/eV per cell. For the formation enthalpy at 0 K, the calculation gives -1.35 eV/f.u.

Entry from the Alexandria database: a relaxed structure of Pa3AlH (PBE-GGA).

extended XYZ file:
```
5
Lattice="4.6044 0.0000 0.0000 0.0000 4.6044 0.0000 0.0000 0.0000 4.6044" Properties=species:S:1:pos:R:3 pbc="T T T"
H 0.0000 0.0000 0.0000
Pa 0.0000 2.3022 0.0000
Pa 0.0000 0.0000 2.3022
Pa 2.3022 0.0000 0.0000
Al 2.3022 2.3022 2.3022
```

The symmetry is Pm-3m (221). Its total energy is -36.22 eV/cell. The calculation puts the total magnetization at 0.00 μB per cell. The value obtained for the density of states at the Fermi level is 8.9 states/eV per cell.

Entry from the Alexandria database: a relaxed structure of Pm2HoIr (PBE-GGA).

extended XYZ file:
```
16
Lattice="6.4044 0.0000 0.0000 0.0000 7.2849 0.0000 0.0000 0.0000 9.7379" Properties=species:S:1:pos:R:3 pbc="T T T"
Pm 1.1120 4.9443 0.6319
Pm 2.0902 1.3018 4.2370
Pm 5.2924 2.3406 5.5009
Pm 4.3142 5.9831 9.1060
Pm 5.2924 2.3406 9.1060
Pm 4.3142 5.9831 5.5009
Pm 1.1120 4.9443 4.2370
Pm 2.0902 1.3018 0.6319
Ho 4.1345 3.9171 2.4345
Ho 5.4720 0.2747 2.4345
Ho 2.2698 3.3678 7.3034
Ho 0.9323 7.0102 7.3034
Ir 0.2957 2.7731 2.4345
Ir 2.9065 6.4156 2.4345
Ir 6.1086 4.5118 7.3034
Ir 3.4979 0.8693 7.3034
```

The symmetry is Pnma (62). The calculation puts the total magnetization at 0.00 μB per cell. The value obtained for the density of states at the Fermi level is 17.6 states/eV per cell. For the formation enthalpy at 0 K, the calculation gives -2.02 eV/f.u.